Entry 1:
A relaxed structure of NiP. Source: the Alexandria database, functional GGA-PBE.

a = 7.619 Å, b = 3.254 Å, c = 4.268 Å
α = 90.00°, β = 106.29°, γ = 90.00°
Space group C2/m (No. 12)
Inequivalent atoms, fractional coordinates:
1 Ni 0.109 0.000 0.329
2 P 0.115 0.500 0.761

ΔE_f = -176 meV per atom



Entry 2:
A relaxed structure of Li2NdBi2. Source: the Alexandria database, functional GGA-PBE.

a = 4.6701 Å, b = 4.6701 Å, c = 7.6008 Å
α = 90.00°, β = 90.00°, γ = 120.00°
Space group P-3m1 (No. 164)
Inequivalent atoms, fractional coordinates:
1 Li 0.3333 0.6667 0.3711
2 Nd 0.0000 0.0000 0.0000
3 Bi 0.3333 0.6667 0.7567

E above lowest polymorph = 0 meV per atom
ΔE_f = -574 meV per atom



Entry 3:
A relaxed structure of Na2Mg2Hg3. Source: the Alexandria database, functional GGA-PBE.

a = 4.920 Å, b = 5.209 Å, c = 7.789 Å
α = 74.51°, β = 86.91°, γ = 62.17°
Space group P-1 (No. 2)
Inequivalent atoms, fractional coordinates:
1 Na 0.191 0.087 0.138
2 Mg 0.417 0.735 0.607
3 Hg 0.125 0.326 0.694
4 Hg 0.500 0.500 0.000

ΔE_f = -174 meV per atom



Entry 4:
A relaxed structure of La3TbTe6. Source: the Alexandria database, functional GGA-PBE.

a = 14.0978 Å, b = 14.0978 Å, c = 13.1597 Å
α = 90.00°, β = 90.00°, γ = 120.00°
Space group R-3 (No. 148, hexagonal axes)
Inequivalent atoms, fractional coordinates:
1 La 0.0493 0.4402 0.3189
2 Tb 0.0000 0.0000 0.0000
3 Tb 0.0000 0.0000 0.5000
4 Te 0.0354 0.2075 0.3889
5 Te 0.0505 0.2060 0.8826

E above lowest polymorph = 0 meV per atom
formation energy without anion corrections = -14.9 eV per formula unit